Entry 1:
Material: PrH7Pd2
Method: DFT, GGA-PBE
State: relaxed

The structure belongs to space group Cmmm (No. 65); the cell edges are 4.962, 9.947 and 3.625 Å and the angles 90.00°, 90.00° and 90.00°. Symmetry generates all atoms from Pr at (0.000, 0.000, 0.000), H at (0.000, 0.340, 0.000), H at (0.000, 0.500, 0.500), H at (0.157, 0.141, 0.500) and Pd at (0.000, 0.325, 0.500).

Its total magnetization is 0.0 μB per cell. As for the uncorrected energy: -4.04 eV per atom.

---

Entry 2:
Material: Tb3Tm6Pb
Method: DFT, GGA-PBE
State: relaxed

The structure belongs to space group Cmc2_1 (No. 36); the cell edges are 11.742, 14.314 and 7.575 Å and the angles 90.00°, 90.00° and 90.00°. Symmetry generates all atoms from Tb at (0.000, 0.127, 0.000), Tb at (0.138, 0.355, 0.064), Tm at (0.000, 0.122, 0.515), Tm at (0.000, 0.469, 0.385), Tm at (0.207, 0.020, 0.260), Tm at (0.208, 0.309, 0.460) and Pb at (0.000, 0.324, 0.719).

Its total magnetization is 0.0 μB per cell. As for the uncorrected energy: -4.29 eV per atom.

---

Entry 3:
Material: LiTiIn
Method: DFT, GGA-PBE
State: relaxed

The structure belongs to space group P6_3/mmc (No. 194); the cell edges are 4.8133, 4.8133 and 5.6813 Å and the angles 90.00°, 90.00° and 120.00°. Symmetry generates all atoms from Li at (0.0000, 0.0000, 0.0000), Ti at (0.3333, 0.6667, 0.2500) and In at (0.3333, 0.6667, 0.7500).

Its total magnetization is 0.0 μB per cell. The value obtained for the excess energy over the best structure of this formula in the dataset is 162 meV per atom. As for the uncorrected energy: -4.19 eV per atom.

---

Entry 4:
Material: Ba2CaZr
Method: DFT, GGA-PBE
State: relaxed

The structure belongs to space group F-43m (No. 216); the cell edges are 8.732, 8.732 and 8.732 Å and the angles 90.00°, 90.00° and 90.00°. Symmetry generates all atoms from Ba at (0.000, 0.000, 0.000), Ba at (0.250, 0.250, 0.250), Ca at (0.000, 0.000, 0.500) and Zr at (0.250, 0.250, 0.750).

Its total magnetization is 7.7 μB per cell. The value obtained for the excess energy over the best structure of this formula in the dataset is 140 meV per atom. As for the uncorrected energy: -3.06 eV per atom.

---

Entry 5:
Material: ThUIr2
Method: DFT, GGA-PBE
State: relaxed

The structure belongs to space group R-3m (No. 166, hexagonal axes); the cell edges are 4.0432, 4.0432 and 19.7497 Å and the angles 90.00°, 90.00° and 120.00°. Symmetry generates all atoms from Th at (0.0000, 0.0000, 0.0000), U at (0.0000, 0.0000, 0.5000) and Ir at (0.0000, 0.0000, 0.2430).

Its total magnetization is 3.3 μB per cell. As for the uncorrected energy: -9.80 eV per atom.

---

Entry 6:
Material: Sc7Cd2Hg2
Method: DFT, GGA-PBE
State: relaxed

The structure belongs to space group Cmmm (No. 65); the cell edges are 7.356, 10.490 and 7.280 Å and the angles 90.00°, 90.00° and 90.00°. Symmetry generates all atoms from Sc at (0.000, 0.000, 0.000), Sc at (0.000, 0.500, 0.265), Sc at (0.250, 0.250, 0.287), Cd at (0.182, 0.000, 0.500) and Hg at (0.000, 0.294, 0.000).

Its total magnetization is 0.0 μB per cell. As for the uncorrected energy: -4.23 eV per atom.

---

Entry 7:
Material: LaAlHg
Method: DFT, GGA-PBE
State: relaxed

The structure belongs to space group Imma (No. 74); the cell edges are 4.269, 4.647 and 16.506 Å and the angles 90.00°, 90.00° and 90.00°. Symmetry generates all atoms from La at (0.000, 0.250, 0.138), Al at (0.000, 0.250, 0.710) and Hg at (0.000, 0.250, 0.549).

Its total magnetization is 0.0 μB per cell. As for the uncorrected energy: -3.42 eV per atom.

---

Entry 8:
Material: Nd4SiPt3
Method: DFT, GGA-PBE
State: relaxed

The structure belongs to space group Pmm2 (No. 25); the cell edges are 4.089, 4.356 and 11.021 Å and the angles 90.00°, 90.00° and 90.00°. Symmetry generates all atoms from Nd at (0.000, 0.000, 0.000), Nd at (0.000, 0.500, 0.277), Nd at (0.500, 0.000, 0.497), Nd at (0.500, 0.500, 0.777), Si at (0.000, 0.000, 0.710), Pt at (0.000, 0.500, 0.562), Pt at (0.500, 0.000, 0.224) and Pt at (0.500, 0.500, 0.049).

Its total magnetization is 0.0 μB per cell. Its raw formation energy is -1.025 eV per atom. As for the uncorrected energy: -6.35 eV per atom.

---

Entry 9:
Material: Li2MnCdN
Method: DFT, GGA-PBE
State: relaxed

The structure belongs to space group P4/mmm (No. 123); the cell edges are 4.265, 4.265 and 3.705 Å and the angles 90.00°, 90.00° and 90.00°. Symmetry generates all atoms from Li at (0.000, 0.500, 0.000), Mn at (0.000, 0.000, 0.500), Cd at (0.500, 0.500, 0.500) and N at (0.000, 0.000, 0.000).

Its total magnetization is 2.8 μB per cell. Its raw formation energy is -0.248 eV per atom. As for the uncorrected energy: -4.70 eV per atom.

---

Entry 10:
Material: Pr8Ho2Th3
Method: DFT, GGA-PBE
State: relaxed

The structure belongs to space group C2/m (No. 12); the cell edges are 10.012, 11.159 and 8.865 Å and the angles 90.00°, 112.63° and 90.00°. Symmetry generates all atoms from Pr at (0.088, 0.000, 0.341), Pr at (0.102, 0.500, 0.216), Pr at (0.162, 0.244, 0.683), Ho at (0.234, 0.000, 0.045), Th at (0.000, 0.236, 0.000) and Th at (0.000, 0.500, 0.500).

Its total magnetization is 0.0 μB per cell. As for the uncorrected energy: -5.13 eV per atom.

---

Entry 11:
Material: Pm3Tl2In3Rh
Method: DFT, GGA-PBE
State: relaxed

The structure belongs to space group P-62m (No. 189); the cell edges are 7.6322, 7.6322 and 4.5907 Å and the angles 90.00°, 90.00° and 120.00°. Symmetry generates all atoms from Pm at (0.0000, 0.6086, 0.0000), Tl at (0.3333, 0.6667, 0.5000), In at (0.0000, 0.2322, 0.5000) and Rh at (0.0000, 0.0000, 0.0000).

Its total magnetization is 0.0 μB per cell. As for the uncorrected energy: -4.36 eV per atom.

---

Entry 12:
Material: NbBiPt
Method: DFT, GGA-PBE
State: relaxed

The structure belongs to space group Amm2 (No. 38); the cell edges are 12.146, 4.494 and 4.547 Å and the angles 90.00°, 90.00° and 90.00°. Symmetry generates all atoms from Nb at (0.138, 0.000, 0.000), Bi at (0.329, 0.000, 0.499), Pt at (0.000, 0.000, 0.500) and Pt at (0.500, 0.000, 0.999).

Its total magnetization is 0.0 μB per cell. As for the uncorrected energy: -6.60 eV per atom.

---

Entry 13:
Material: Na4InSn2
Method: DFT, GGA-PBE
State: relaxed

The structure belongs to space group I4/mmm (No. 139); the cell edges are 5.865, 5.865 and 15.266 Å and the angles 90.00°, 90.00° and 90.00°. Symmetry generates all atoms from Na at (0.000, 0.000, 0.203), Na at (0.000, 0.500, 0.000), In at (0.000, 0.000, 0.000) and Sn at (0.000, 0.000, 0.407).

Its total magnetization is 0.0 μB per cell. The value obtained for the excess energy over the best structure of this formula in the dataset is 158 meV per atom. As for the uncorrected energy: -2.19 eV per atom.